## w
DyTm2Tl: relaxed, GGA-PBE.

Summary:
Density of states at the Fermi level   5.8 states/eV/f.u.

Structure (CIF):
```
data_DyTm2Tl
_chemical_formula_sum 'Dy4 Tm8 Tl4'
_symmetry_space_group_name_H-M 'F m -3 m'
_symmetry_Int_Tables_number 225
_symmetry_space_group_name_Hall '-F 4 2 3'
_cell_length_a 7.659
_cell_length_b 7.659
_cell_length_c 7.659
_cell_angle_alpha 90.00
_cell_angle_beta 90.00
_cell_angle_gamma 90.00
loop_
_atom_site_label
_atom_site_fract_x
_atom_site_fract_y
_atom_site_fract_z
Dy1 0.000 0.000 0.000
Tm1 0.250 0.250 0.250
Tl1 0.000 0.000 0.500
```

## x
DyTm2Tl: relaxed, GGA-PBE.

Summary:
Density of states at the Fermi level   5.3 states/eV/f.u.

Structure (CIF):
```
data_DyTm2Tl
_chemical_formula_sum 'Dy1 Tm2 Tl1'
_symmetry_space_group_name_H-M 'P 4/m m m'
_symmetry_Int_Tables_number 123
_symmetry_space_group_name_Hall '-P 4 2'
_cell_length_a 4.815
_cell_length_b 4.815
_cell_length_c 4.800
_cell_angle_alpha 90.00
_cell_angle_beta 90.00
_cell_angle_gamma 90.00
loop_
_atom_site_label
_atom_site_fract_x
_atom_site_fract_y
_atom_site_fract_z
Dy1 0.000 0.000 0.000
Tm1 0.000 0.500 0.500
Tl1 0.500 0.500 0.000
```

## y
DyTm2Tl: relaxed, GGA-PBE.

Summary:
Density of states at the Fermi level   3.8 states/eV/f.u.

Structure (CIF):
```
data_DyTm2Tl
_chemical_formula_sum 'Dy3 Tm6 Tl3'
_symmetry_space_group_name_H-M 'R -3 m'
_symmetry_Int_Tables_number 166
_symmetry_space_group_name_Hall '-R 3 2"'
_cell_length_a 3.5209
_cell_length_b 3.5209
_cell_length_c 32.8101
_cell_angle_alpha 90.00
_cell_angle_beta 90.00
_cell_angle_gamma 120.00
loop_
_atom_site_label
_atom_site_fract_x
_atom_site_fract_y
_atom_site_fract_z
Dy1 0.0000 0.0000 0.0000
Tm1 0.0000 0.0000 0.2466
Tl1 0.0000 0.0000 0.5000
```

Among the structures above, stability is smallest for w.